Record 1
A relaxed structure of NbGa2Ni, computed with PBE.

Calculated values
The value obtained for the density of states at the Fermi level is 0.88 states/eV/atom. The energy of formation comes out at -0.2 eV per formula unit.

Cell: 6.8845 6.8845 5.5556 Å, 51.71 51.71 90.00°
Atoms (fractional coordinates):
Ni 0.5000 0.5000 0.0000
Ni 0.2500 0.7500 0.5000
Ga 0.5864 0.1250 0.2500
Ga 0.8750 0.8364 0.7500
Ga 0.1636 0.6250 0.2500
Ga 0.3750 0.4136 0.7500
Nb 0.7500 0.2500 0.5000
Nb 0.0000 0.0000 0.0000

***

Record 2
A relaxed structure of Nb2GaNi4, computed with PBE.

Calculated values
The value obtained for the density of states at the Fermi level is 0.86 states/eV/atom. Its distance to the lowest polymorph of the same formula is 0 kJ/mol of formula units. The energy of formation comes out at -0.3 eV per formula unit.

Cell: 4.8854 4.7533 5.3862 Å, 102.26 116.88 61.79°
Atoms (fractional coordinates):
Nb 0.6537 0.4997 0.3082
Nb 0.3463 0.5003 0.6918
Ga 0.0000 0.0000 0.0000
Ni 0.7523 0.9993 0.5045
Ni 0.5000 0.0000 0.0000
Ni 0.0000 0.5000 0.0000
Ni 0.2477 0.0007 0.4955

***

Record 3
A relaxed structure of Nb2GaNi6, computed with PBE.

Calculated values
The value obtained for the density of states at the Fermi level is 0.70 states/eV/atom. Its distance to the lowest polymorph of the same formula is 58 kJ/mol of formula units. The energy of formation comes out at -1.0 eV per formula unit.

Cell: 2.6444 7.0963 7.2316 Å, 119.38 89.80 90.00°
Atoms (fractional coordinates):
Ni 0.9991 0.0197 0.6798
Ni 0.5000 0.3127 0.0000
Ni 0.0009 0.9803 0.3202
Ni 0.9991 0.6601 0.6798
Ni 0.5000 0.6873 0.0000
Ni 0.0009 0.3399 0.3202
Nb 0.4972 0.3197 0.6393
Nb 0.5028 0.6803 0.3607
Ga 0.0000 0.0000 0.0000

***

Record 4
A relaxed structure of NbGa2Ni2, computed with PBE.

Calculated values
The value obtained for the density of states at the Fermi level is 0.50 states/eV/atom. Its distance to the lowest polymorph of the same formula is 0 kJ/mol of formula units. The energy of formation comes out at -1.4 eV per formula unit.

Cell: 4.2004 4.1195 8.6520 Å, 89.97 90.00 90.00°
Atoms (fractional coordinates):
Ni 0.2500 0.2496 0.8360
Ni 0.7500 0.7504 0.1640
Ni 0.2500 0.2507 0.4902
Ni 0.7500 0.7493 0.5098
Ga 0.2500 0.7495 0.9931
Ga 0.2500 0.7499 0.6703
Ga 0.7500 0.2505 0.0069
Ga 0.7500 0.2501 0.3297
Nb 0.2500 0.7507 0.3175
Nb 0.7500 0.2493 0.6825

***

Among the records above, which one has the highest density of states at the Fermi level?
NbGa2Ni